(1)
Zr6GaO | PBE | relaxed

Cell: 5.259 5.630 5.728 Å, 99.38 107.31 93.83°
Fractional positions:
Zr (0.073, 0.278, 0.145)
Zr (0.234, 0.837, 0.459)
Zr (0.369, 0.381, 0.742)
Zr (0.631, 0.619, 0.258)
Zr (0.766, 0.163, 0.541)
Zr (0.927, 0.722, 0.855)
Ga (0.500, 0.000, 0.000)
O (0.000, 0.500, 0.500)

## Properties
Volume = 19.820 Å³ per atom
D(E_F) = 7.42 states/eV/f.u.
Electronic total energy = -8.162 eV/atom
Crystal system = triclinic

***

(2)
GaOs | PBE | relaxed

Cell: 2.849 3.770 5.423 Å, 90.00 90.00 90.00°
Fractional positions:
Ga (0.250, 0.250, 0.134)
Ga (0.750, 0.750, 0.866)
Os (0.250, 0.250, 0.631)
Os (0.750, 0.750, 0.369)

## Properties
Volume = 14.559 Å³ per atom
D(E_F) = 1.53 states/eV/f.u.
Energy of formation = 0.13 eV per atom
Crystal system = orthorhombic

***

(3)
Ga4Os | PBE | relaxed

Cell: 4.834 4.834 4.834 Å, 90.00 90.00 90.00°
Fractional positions:
Ga (0.000, 0.000, 0.000)
Ga (0.000, 0.500, 0.500)
Ga (0.500, 0.000, 0.500)
Ga (0.500, 0.500, 0.000)
Os (0.500, 0.500, 0.500)

## Properties
Volume = 22.593 Å³ per atom
D(E_F) = 1.74 states/eV/f.u.
Energy of formation = 0.08 eV per atom
Crystal system = cubic

***

(4)
GaOs | PBE | relaxed

Cell: 7.748 7.748 7.748 Å, 90.00 90.00 90.00°
Fractional positions:
Ga (0.198, 0.198, 0.198)
Ga (0.198, 0.802, 0.802)
Ga (0.302, 0.302, 0.698)
Ga (0.302, 0.698, 0.302)
Ga (0.698, 0.302, 0.302)
Ga (0.698, 0.698, 0.698)
Ga (0.802, 0.198, 0.802)
Ga (0.802, 0.802, 0.198)
Os (0.116, 0.116, 0.884)
Os (0.116, 0.884, 0.116)
Os (0.384, 0.384, 0.384)
Os (0.384, 0.616, 0.616)
Os (0.616, 0.384, 0.616)
Os (0.616, 0.616, 0.384)
Os (0.884, 0.116, 0.116)
Os (0.884, 0.884, 0.884)

## Properties
Volume = 29.070 Å³ per atom
D(E_F) = 2.16 states/eV/f.u.
Energy of formation = 1.09 eV per atom
Crystal system = cubic

***

(5)
GaOs | PBE | relaxed

Cell: 4.377 2.848 5.141 Å, 90.00 111.02 90.00°
Fractional positions:
Ga (0.039, 0.250, 0.274)
Ga (0.961, 0.750, 0.726)
Os (0.489, 0.250, 0.781)
Os (0.511, 0.750, 0.219)

## Properties
Volume = 14.957 Å³ per atom
D(E_F) = 1.11 states/eV/f.u.
Energy of formation = 0.11 eV per atom
Crystal system = monoclinic

***

(6)
GaOs | PBE | relaxed

Cell: 4.650 7.187 7.338 Å, 90.00 90.00 90.00°
Fractional positions:
Ga (0.130, 0.212, 0.221)
Ga (0.132, 0.440, 0.925)
Ga (0.368, 0.560, 0.425)
Ga (0.370, 0.788, 0.721)
Ga (0.630, 0.288, 0.779)
Ga (0.632, 0.060, 0.075)
Ga (0.868, 0.940, 0.575)
Ga (0.870, 0.712, 0.279)
Os (0.117, 0.068, 0.894)
Os (0.147, 0.242, 0.587)
Os (0.353, 0.758, 0.087)
Os (0.383, 0.932, 0.394)
Os (0.617, 0.432, 0.106)
Os (0.647, 0.258, 0.413)
Os (0.853, 0.742, 0.913)
Os (0.883, 0.568, 0.606)

## Properties
Volume = 15.324 Å³ per atom
D(E_F) = 0.76 states/eV/f.u.
Energy of formation = 0.15 eV per atom
Crystal system = orthorhombic

***

(7)
GaOs | PBE | relaxed

Cell: 6.888 6.888 6.888 Å, 90.00 90.00 90.00°
Fractional positions:
Ga (0.000, 0.250, 0.500)
Ga (0.000, 0.750, 0.500)
Ga (0.250, 0.500, 0.000)
Ga (0.500, 0.000, 0.250)
Ga (0.500, 0.000, 0.750)
Ga (0.750, 0.500, 0.000)
Os (0.000, 0.500, 0.250)
Os (0.000, 0.500, 0.750)
Os (0.250, 0.000, 0.500)
Os (0.500, 0.250, 0.000)
Os (0.500, 0.750, 0.000)
Os (0.750, 0.000, 0.500)

## Properties
Volume = 27.230 Å³ per atom
D(E_F) = 1.99 states/eV/f.u.
Energy of formation = 1.57 eV per atom
Crystal system = cubic

***

(8)
Ga2Os | PBE | relaxed

Cell: 5.098 2.933 6.645 Å, 90.00 104.53 90.00°
Fractional positions:
Ga (0.066, 0.000, 0.194)
Ga (0.434, 0.500, 0.806)
Ga (0.566, 0.500, 0.194)
Ga (0.934, 0.000, 0.806)
Os (0.000, 0.500, 0.500)
Os (0.500, 0.000, 0.500)

## Properties
Volume = 16.030 Å³ per atom
D(E_F) = 2.35 states/eV/f.u.
Energy of formation = 0.04 eV per atom
Crystal system = monoclinic

***

(9)
GaOs | PBE | relaxed

Cell: 3.723 11.938 3.963 Å, 90.00 90.00 90.00°
Fractional positions:
Ga (0.000, 0.000, 0.000)
Ga (0.000, 0.160, 0.500)
Ga (0.000, 0.840, 0.500)
Ga (0.500, 0.340, 0.500)
Ga (0.500, 0.500, 0.000)
Ga (0.500, 0.660, 0.500)
Os (0.000, 0.323, 0.000)
Os (0.000, 0.500, 0.500)
Os (0.000, 0.677, 0.000)
Os (0.500, 0.000, 0.500)
Os (0.500, 0.177, 0.000)
Os (0.500, 0.823, 0.000)

## Properties
Volume = 14.677 Å³ per atom
D(E_F) = 1.63 states/eV/f.u.
Energy of formation = 0.25 eV per atom
Crystal system = orthorhombic

***

(10)
GaOs | PBE | relaxed

Cell: 9.501 9.501 4.349 Å, 90.00 90.00 90.00°
Fractional positions:
Ga (0.033, 0.717, 0.000)
Ga (0.217, 0.467, 0.500)
Ga (0.283, 0.033, 0.000)
Ga (0.467, 0.783, 0.500)
Ga (0.533, 0.217, 0.500)
Ga (0.717, 0.967, 0.000)
Ga (0.783, 0.533, 0.500)
Ga (0.967, 0.283, 0.000)
Os (0.208, 0.719, 0.500)
Os (0.219, 0.292, 0.000)
Os (0.281, 0.208, 0.500)
Os (0.292, 0.781, 0.000)
Os (0.708, 0.219, 0.000)
Os (0.719, 0.792, 0.500)
Os (0.781, 0.708, 0.000)
Os (0.792, 0.281, 0.500)

## Properties
Volume = 24.534 Å³ per atom
D(E_F) = 0.89 states/eV/f.u.
Energy of formation = 0.69 eV per atom
Crystal system = tetragonal

***

(11)
Ga2Os | PBE | relaxed

Cell: 4.273 4.273 2.882 Å, 90.00 90.00 90.00°
Fractional positions:
Ga (0.000, 0.500, 0.000)
Ga (0.500, 0.000, 0.000)
Os (0.000, 0.000, 0.500)

## Properties
Volume = 17.536 Å³ per atom
D(E_F) = 0.93 states/eV/f.u.
Energy of formation = -0.06 eV per atom
Crystal system = tetragonal

***

(12)
GaOs | PBE | relaxed

Cell: 4.195 9.077 5.990 Å, 90.00 90.00 90.00°
Fractional positions:
Ga (0.250, 0.077, 0.159)
Ga (0.250, 0.423, 0.159)
Ga (0.250, 0.750, 0.409)
Ga (0.750, 0.250, 0.591)
Ga (0.750, 0.577, 0.841)
Ga (0.750, 0.923, 0.841)
Os (0.250, 0.030, 0.599)
Os (0.250, 0.250, 0.832)
Os (0.250, 0.470, 0.599)
Os (0.750, 0.530, 0.401)
Os (0.750, 0.750, 0.168)
Os (0.750, 0.970, 0.401)

## Properties
Volume = 19.004 Å³ per atom
D(E_F) = 1.12 states/eV/f.u.
Energy of formation = 0.38 eV per atom
Crystal system = orthorhombic